A geometry-optimized Ca2CePaN4 structure. Source: the Alexandria database, functional PBE.

a b c (Å): 6.0679 3.5812 6.1942
angles (deg): 90.00 109.68 90.00
With the nearest neighbours (Å) after each atom.
Space group P2/m (No. 10)
Symmetry-distinct sites (fractional):
1 Ca 0.0000 0.0000 0.0000 [1 per cell]  6 N 2.56-2.58
2 Ca 0.0000 0.5000 0.5000 [1 per cell]  6 N 2.66-2.70
3 Ce 0.5000 0.0000 0.5000 [1 per cell]  6 N 2.47
4 Pa 0.5000 0.5000 0.0000 [1 per cell]  6 N 2.31-2.38
5 N 0.2821 0.5000 0.2426 [2 per cell]  1 Pa 2.31, 2 Ce 2.47, 2 Ca 2.58
6 N 0.2829 0.0000 0.7733 [2 per cell]  2 Pa 2.38, 1 Ce 2.47, 3 Ca 2.56-2.66

Output
The calculation puts the formation energy from raw total energies at -1.421 eV/atom.